{"formula": "LaPmCo", "functional": "PBE-GGA", "state": "optimized geometry", "lattice_angstrom": [[-1.0595, -0.3814, 3.9329], [-5.3885, -3.2789, -1.7696], [6.6143, -11.2430, 0.6915]], "species": ["La", "La", "Pm", "Co", "Pm", "Pm", "La", "La", "Pm", "Co", "Co", "Co"], "fractional_positions": [[0.2500, 0.5901, 0.7588], [0.2500, 0.9099, 0.2588], [0.7500, 0.7377, 0.0097], [0.2500, 0.9149, 0.6320], [0.2500, 0.2377, 0.4903], [0.7500, 0.7623, 0.5097], [0.7500, 0.4099, 0.2412], [0.7500, 0.0901, 0.7412], [0.2500, 0.2623, 0.9903], [0.7500, 0.0851, 0.3680], [0.7500, 0.4149, 0.8680], [0.2500, 0.5851, 0.1320]], "magmom_total_mub_per_cell": 0.00, "relative_energy_kj_per_mol_atoms": 0.0, "rho_g_cm3": 6.505, "formation_energy_ev_per_atom": -0.084}

{"formula": "Mn2CoHg", "functional": "PBE-GGA", "state": "optimized geometry", "lattice_angstrom": [[-0.6324, -4.2169, -7.5828], [0.7992, -6.1372, -6.1138], [-2.0032, -6.0352, -5.9367]], "species": ["Hg", "Mn", "Mn", "Co"], "fractional_positions": [[0.7524, 0.7524, 0.7524], [0.2464, 0.2464, 0.2464], [0.9902, 0.9902, 0.9902], [0.5110, 0.5110, 0.5110]], "magmom_total_mub_per_cell": 6.41, "rho_g_cm3": 10.497, "formation_energy_ev_per_atom": 0.475}

{"formula": "PrY2Ru", "functional": "PBE-GGA", "state": "optimized geometry", "lattice_angstrom": [[3.9125, -0.1616, 0.0000], [-1.7027, 6.2428, 0.0000], [0.0000, 0.0000, 9.3027]], "species": ["Y", "Y", "Pr", "Y", "Ru", "Pr", "Y", "Ru"], "fractional_positions": [[0.8544, 0.7087, 0.5701], [0.8544, 0.7087, 0.9299], [0.5756, 0.1509, 0.7500], [0.1456, 0.2913, 0.0701], [0.7556, 0.5115, 0.2500], [0.4244, 0.8491, 0.2500], [0.1456, 0.2913, 0.4299], [0.2444, 0.4885, 0.7500]], "magmom_total_mub_per_cell": 0.00, "relative_energy_kj_per_mol_atoms": 1.4, "rho_g_cm3": 6.206, "formation_energy_ev_per_atom": -0.241}

{"formula": "Tl2AsBr", "functional": "PBE-GGA", "state": "optimized geometry", "lattice_angstrom": [[6.7415, 0.0000, 0.0000], [0.0000, 6.7415, 0.0000], [3.3708, 3.3708, 7.3477]], "species": ["Br", "Tl", "Tl", "Tl", "As", "Tl", "Br", "As"], "fractional_positions": [[0.7500, 0.2500, 0.5000], [0.5838, 0.1250, 0.2500], [0.8750, 0.8338, 0.7500], [0.3750, 0.4162, 0.7500], [0.5000, 0.5000, 0.0000], [0.1662, 0.6250, 0.2500], [0.0000, 0.0000, 0.0000], [0.2500, 0.7500, 0.5000]], "magmom_total_mub_per_cell": 0.00, "relative_energy_kj_per_mol_atoms": 9.0, "rho_g_cm3": 5.605}

{"formula": "MoBr2N", "functional": "PBE-GGA", "state": "optimized geometry", "lattice_angstrom": [[0.0000, 3.1558, 3.1558], [3.1558, 0.0000, 3.1558], [3.1558, 3.1558, 0.0000]], "species": ["Mo", "Br", "Br", "N"], "fractional_positions": [[0.5000, 0.5000, 0.5000], [0.7500, 0.7500, 0.7500], [0.2500, 0.2500, 0.2500], [0.0000, 0.0000, 0.0000]], "magmom_total_mub_per_cell": 0.00, "relative_energy_kj_per_mol_atoms": 0.0, "rho_g_cm3": 7.126}

{"formula": "Ac2LaPmSm5", "functional": "PBE-GGA", "state": "optimized geometry", "lattice_angstrom": [[-5.1171, -1.9581, -2.1270], [6.1572, -8.6180, 1.2409], [-3.8240, -1.2427, 10.3439]], "species": ["La", "Ac", "Sm", "Ac", "Sm", "Sm", "Sm", "Sm", "La", "Sm", "Ac", "Sm", "Pm", "Ac", "Sm", "Sm", "Pm", "Sm"], "fractional_positions": [[0.5834, 0.1668, 0.9605], [0.8823, 0.7647, 0.8228], [0.7031, 0.4063, 0.2047], [0.1131, 0.2263, 0.7294], [0.3937, 0.7874, 0.0228], [0.7152, 0.4304, 0.8078], [0.2969, 0.5937, 0.7047], [0.9804, 0.9608, 0.5278], [0.4166, 0.8332, 0.4605], [0.4808, 0.9617, 0.7400], [0.8869, 0.7737, 0.2294], [0.5192, 0.0383, 0.2400], [0.2088, 0.4175, 0.0082], [0.1177, 0.2353, 0.3228], [0.0196, 0.0392, 0.0278], [0.2848, 0.5696, 0.3078], [0.7912, 0.5825, 0.5082], [0.6063, 0.2126, 0.5228]], "magmom_total_mub_per_cell": 0.00, "rho_g_cm3": 7.399, "formation_energy_ev_per_atom": 0.140}

{"formula": "KPtPb", "functional": "PBE-GGA", "state": "optimized geometry", "lattice_angstrom": [[5.1497, 0.0000, 0.0000], [-2.5748, 4.4598, 0.0000], [0.0000, 0.0000, 3.3106]], "species": ["Pb", "Pt", "K"], "fractional_positions": [[0.3333, 0.6667, 0.5004], [0.6667, 0.3333, 0.4992], [0.0000, 0.0000, 0.0004]], "magmom_total_mub_per_cell": 0.00, "rho_g_cm3": 9.640, "formation_energy_ev_per_atom": 0.031}

{"formula": "In2HgSb", "functional": "PBE-GGA", "state": "optimized geometry", "lattice_angstrom": [[3.5498, 0.0000, 0.0000], [0.0000, 3.5498, 0.0000], [0.0000, 0.0000, 8.6223]], "species": ["Sb", "In", "In", "Hg"], "fractional_positions": [[0.0000, 0.0000, 0.5014], [0.0000, 0.0000, 0.9899], [0.5000, 0.5000, 0.2533], [0.5000, 0.5000, 0.7554]], "magmom_total_mub_per_cell": 0.00, "relative_energy_kj_per_mol_atoms": 7.0, "rho_g_cm3": 8.436}

{"formula": "KLiF3", "functional": "PBE-GGA", "state": "optimized geometry", "lattice_angstrom": [[20.7596, 0.0000, 1.4694], [0.0000, 4.7424, 0.0000], [-6.8981, 0.0000, 3.0096]], "species": ["K", "K", "F", "F", "Li", "Li", "F", "Li", "F", "F", "F", "F", "K", "F", "Li", "F", "F", "F", "K", "F"], "fractional_positions": [[0.3579, 0.7721, 0.7860], [0.1421, 0.2721, 0.7140], [0.1428, 0.5036, 0.3788], [0.8572, 0.4964, 0.6212], [0.0142, 0.2680, 0.9514], [0.9858, 0.7320, 0.0486], [0.0043, 0.2236, 0.6813], [0.5142, 0.2320, 0.4514], [0.0788, 0.8884, 0.0447], [0.6428, 0.9964, 0.8788], [0.4212, 0.3884, 0.4553], [0.5043, 0.2764, 0.1813], [0.8579, 0.7279, 0.2860], [0.9212, 0.1116, 0.9553], [0.4858, 0.7680, 0.5486], [0.4957, 0.7236, 0.8187], [0.3572, 0.0036, 0.1212], [0.5788, 0.6116, 0.5447], [0.6421, 0.2279, 0.2140], [0.9957, 0.7764, 0.3187]], "magmom_total_mub_per_cell": 4.00, "relative_energy_kj_per_mol_atoms": 3.3, "rho_g_cm3": 1.987}

{"formula": "ZrHRu2", "functional": "PBE-GGA", "state": "optimized geometry", "lattice_angstrom": [[0.0000, 3.0564, 3.0564], [3.0564, 0.0000, 3.0564], [3.0564, 3.0564, 0.0000]], "species": ["H", "Zr", "Ru", "Ru"], "fractional_positions": [[0.0000, 0.0000, 0.0000], [0.5000, 0.5000, 0.5000], [0.7500, 0.7500, 0.7500], [0.2500, 0.2500, 0.2500]], "magmom_total_mub_per_cell": 0.00, "relative_energy_kj_per_mol_atoms": 59.4, "rho_g_cm3": 8.560}

{"formula": "KV2Tc2", "functional": "PBE-GGA", "state": "optimized geometry", "lattice_angstrom": [[-1.4029, -5.7567, 5.2014], [-4.1223, -3.9248, -5.4557], [2.3423, -1.3151, -0.8237]], "species": ["V", "V", "Tc", "V", "V", "K", "K", "Tc", "Tc", "Tc"], "fractional_positions": [[0.8645, 0.3645, 0.5000], [0.1355, 0.6355, 0.5000], [0.3616, 0.8616, 0.0000], [0.3645, 0.1355, 0.5000], [0.6355, 0.8645, 0.5000], [0.0000, 0.0000, 0.0000], [0.5000, 0.5000, 0.0000], [0.8616, 0.6384, 0.0000], [0.6384, 0.1384, 0.0000], [0.1384, 0.3616, 0.0000]], "magmom_total_mub_per_cell": 0.99, "relative_energy_kj_per_mol_atoms": 0.0, "rho_g_cm3": 6.408, "formation_energy_ev_per_atom": 0.593}

{"formula": "Pm2MgTl3", "functional": "PBE-GGA", "state": "optimized geometry", "lattice_angstrom": [[-2.6321, 4.6652, 0.0570], [-3.9585, 0.9335, -7.4854], [-6.1266, -3.4908, 2.8046]], "species": ["Tl", "Pm", "Pm", "Tl", "Pm", "Tl", "Mg", "Pm", "Tl", "Tl", "Mg", "Tl"], "fractional_positions": [[0.8234, 0.3531, 0.2266], [0.0000, 0.0000, 0.5000], [0.6638, 0.6724, 0.5000], [0.1766, 0.6469, 0.7734], [0.0000, 0.0000, 0.0000], [0.8234, 0.3531, 0.7734], [0.3425, 0.3149, 0.0000], [0.3362, 0.3276, 0.5000], [0.5000, 0.0000, 0.2410], [0.5000, 0.0000, 0.7590], [0.6575, 0.6851, 0.0000], [0.1766, 0.6469, 0.2266]], "magmom_total_mub_per_cell": 0.02, "relative_energy_kj_per_mol_atoms": 0.0, "rho_g_cm3": 9.370, "formation_energy_ev_per_atom": -0.291}